(1)
Entry from the Alexandria database: Pm2YRh2 after structural relaxation (PBE).

## Properties
The value obtained for the offset from the most stable computed form is 0.00 kJ/mol of atoms.

abc: 4.3658 5.7429 10.5817
angles: 80.31 90.00 90.00
Closest atoms and distances in Å follow each position.
Fractional coordinates of all 10 atoms:
Rh: 0.7500 0.6548 0.0355  3 Y 2.85-2.99, 4 Pm 2.88-3.11, 2 Rh 2.99
Rh: 0.7500 0.3165 0.3592  5 Pm 2.87-3.16, 2 Y 2.89
Rh: 0.2500 0.3452 0.9645  3 Y 2.85-2.99, 4 Pm 2.88-3.11, 2 Rh 2.99
Rh: 0.2500 0.6835 0.6408  5 Pm 2.87-3.16, 2 Y 2.89
Pm: 0.7500 0.1079 0.1174  5 Rh 2.88-3.11
Pm: 0.2500 0.2321 0.5368  4 Rh 2.87-3.16
Pm: 0.7500 0.7679 0.4632  4 Rh 2.87-3.16
Pm: 0.2500 0.8921 0.8826  5 Rh 2.88-3.11
Y: 0.7500 0.4557 0.7924  5 Rh 2.85-2.99
Y: 0.2500 0.5443 0.2076  5 Rh 2.85-2.99

---

(2)
Entry from the Alexandria database: PmY2Rh4 after structural relaxation (PBE).

abc: 4.7147 4.7147 6.7431
angles: 90.00 90.00 90.00
Closest atoms and distances in Å follow each position.
Fractional coordinates of all 7 atoms:
Rh: 0.0000 0.5000 0.2583  4 Y 2.87-2.93, 2 Pm 2.93
Rh: 0.5000 0.0000 0.2583  4 Y 2.87-2.93, 2 Pm 2.93
Rh: 0.0000 0.5000 0.7417  4 Y 2.87-2.93, 2 Pm 2.93
Rh: 0.5000 0.0000 0.7417  4 Y 2.87-2.93, 2 Pm 2.93
Y: 0.5000 0.5000 0.5000  8 Rh 2.87
Y: 0.0000 0.0000 0.0000  8 Rh 2.93
Pm: 0.5000 0.5000 0.0000  8 Rh 2.93

---

(3)
Entry from the Alexandria database: Pm2YRh after structural relaxation (PBE).

## Properties
The value obtained for the offset from the most stable computed form is 35.77 kJ/mol of atoms.

abc: 3.7082 3.7082 10.8676
angles: 80.18 80.18 60.00
Closest atoms and distances in Å follow each position.
Fractional coordinates of all 4 atoms:
Pm: 0.1101 0.1101 0.6698  3 Rh 2.80
Pm: 0.8899 0.8899 0.3302  3 Rh 2.80
Rh: 0.5000 0.5000 0.5000  6 Pm 2.80
Y: 0.0000 0.0000 0.0000  2 Pm 3.52, 6 Y 3.71

---

(4)
Entry from the Alexandria database: Pm2YRh after structural relaxation (PBE).

## Properties
The value obtained for the offset from the most stable computed form is 16.54 kJ/mol of atoms.

abc: 3.5953 3.5953 8.7515
angles: 90.00 90.00 90.00
Closest atoms and distances in Å follow each position.
Fractional coordinates of all 4 atoms:
Rh: 0.5000 0.5000 0.0000  8 Pm 3.04
Pm: 0.0000 0.0000 0.8101  4 Rh 3.04, 1 Pm 3.32
Pm: 0.0000 0.0000 0.1899  4 Rh 3.04, 1 Pm 3.32
Y: 0.5000 0.5000 0.5000  4 Y 3.60, 8 Pm 3.72

---

| no. | size of the total moment (Bohr magnetons per cell) | formation energy (meV/atom) |
| --- | --- | --- |
| 1 | 0.0 | -644 |
| 2 | 0.0 | -369 |
| 3 | 0.5 | -93 |
| 4 | 0.2 | -292 |